A relaxed Cs2LiAg crystal, computed with PBE-GGA.

POSCAR file:
```
Cs2LiAg
1.0
-7.487 -11.411 1.918
7.795 -6.663 -9.209
1.809 -9.795 -1.695
Ag Cs Li
2 4 2
direct
0.000 0.000 0.000 Ag
0.750 0.250 0.500 Ag
0.375 0.207 0.750 Cs
0.793 0.125 0.250 Cs
0.957 0.625 0.250 Cs
0.875 0.043 0.750 Cs
0.250 0.750 0.500 Li
0.500 0.500 0.000 Li
```

Computed properties:
* formation enthalpy at 0 K: 102 meV per atom
* E_tot: -1.52 eV/atom
* spin magnetization: 0.000 μB per atom
* volume: 63.35 A^3/atom
* offset from the most stable computed form: 0 meV per atom